NdErNb2Si2 | PBE-GGA | relaxed

Total moment = 1.12 μB/cell
SG = P4mm (99)
DFT total energy = -7.32 eV/atom

Lattice parameters (Å, degrees): 4.022 4.022 7.942 90.00 90.00 90.00
Element x y z (fractional)
Nb 0.500 0.000 0.003
Nb 0.000 0.500 0.003
Er 0.000 0.000 0.346
Si 0.500 0.500 0.237
Si 0.000 0.000 0.771
Nd 0.500 0.500 0.641

CsYBAu | PBE-GGA | relaxed

Total moment = 0.03 μB/cell
E above lowest polymorph = 0.000 eV/atom
SG = F-43m (216)

Lattice parameters (Å, degrees): 5.250 5.250 5.250 60.00 60.00 60.00
Element x y z (fractional)
Cs 0.500 0.500 0.500
Au 0.750 0.750 0.750
Y 0.000 0.000 0.000
B 0.250 0.250 0.250

MgFeGePd | PBE-GGA | relaxed

Total moment = 1.90 μB/cell
E above lowest polymorph = 0.000 eV/atom
SG = F-43m (216)

Lattice parameters (Å, degrees): 4.343 4.343 4.343 60.00 60.00 60.00
Element x y z (fractional)
Pd 0.250 0.250 0.250
Mg 0.500 0.500 0.500
Fe 0.750 0.750 0.750
Ge 0.000 0.000 0.000

TbHg | PBE-GGA | relaxed

Total moment = 0.01 μB/cell
SG = Fm-3m (225)
ΔH_f (0 K) = -0.49 eV per formula unit

Lattice parameters (Å, degrees): 4.338 4.338 4.338 60.00 60.00 60.00
Element x y z (fractional)
Hg 0.000 0.000 0.000
Tb 0.500 0.500 0.500

LuCuSbIr | PBE-GGA | relaxed

Total moment = 0.00 μB/cell
E above lowest polymorph = 0.277 eV/atom
SG = F-43m (216)

Lattice parameters (Å, degrees): 4.732 4.732 4.732 60.00 60.00 60.00
Element x y z (fractional)
Ir 0.500 0.500 0.500
Lu 0.250 0.250 0.250
Sb 0.000 0.000 0.000
Cu 0.750 0.750 0.750

NdCdOs | PBE-GGA | relaxed

Total moment = 0.00 μB/cell
SG = F-43m (216)
ΔH_f (0 K) = 2.06 eV per formula unit

Lattice parameters (Å, degrees): 4.707 4.707 4.707 60.00 60.00 60.00
Element x y z (fractional)
Nd 0.250 0.250 0.250
Cd 0.000 0.000 0.000
Os 0.750 0.750 0.750